# 1
VASP calculation (PBE-GGA) on a geometry-optimized HoMgAlRh structure.

Results
Total DFT energy (no corrections)   -4.790 eV per atom
Formation enthalpy at 0 K   -474 meV per atom
Space group   F-43m
Size of the total moment   0.0 μB/cell

a = 4.7159 Å, b = 4.7159 Å, c = 4.7159 Å
α = 60.00°, β = 60.00°, γ = 60.00°
Element x y z (fractional)
Ho1 0.2500 0.2500 0.2500
Mg1 0.0000 0.0000 0.0000
Rh1 0.5000 0.5000 0.5000
Al1 0.7500 0.7500 0.7500

# 2
VASP calculation (PBE-GGA) on a geometry-optimized Nd2Ga3Cu4Ag structure.

Results
Total DFT energy (no corrections)   -4.128 eV per atom
Formation enthalpy at 0 K   -342 meV per atom
Space group   P-4m2
Size of the total moment   0.0 μB/cell

a = 4.2246 Å, b = 4.2246 Å, c = 10.3924 Å
α = 90.00°, β = 90.00°, γ = 90.00°
Element x y z (fractional)
Ag1 0.5000 0.5000 0.5000
Cu1 0.0000 0.0000 0.0000
Cu2 0.5000 0.5000 0.0000
Cu3 0.0000 0.5000 0.3565
Cu4 0.5000 0.0000 0.6435
Nd1 0.0000 0.5000 0.7638
Nd2 0.5000 0.0000 0.2362
Ga1 0.5000 0.0000 0.8760
Ga2 0.0000 0.0000 0.5000
Ga3 0.0000 0.5000 0.1240

# 3
VASP calculation (PBE-GGA) on a geometry-optimized AsIrSCl2 structure.

Results
Formation energy from raw total energies   1.062 eV per atom
Total DFT energy (no corrections)   -3.205 eV per atom
Space group   P4/mmm
Size of the total moment   2.4 μB/cell

a = 4.7782 Å, b = 4.7782 Å, c = 5.1403 Å
α = 90.00°, β = 90.00°, γ = 90.00°
Element x y z (fractional)
S1 0.0000 0.0000 0.5000
As1 0.0000 0.0000 0.0000
Cl1 0.0000 0.5000 0.0000
Cl2 0.5000 0.0000 0.0000
Ir1 0.5000 0.5000 0.5000

# 4
VASP calculation (PBE-GGA) on a geometry-optimized FeSiH3 structure.

Results
Total DFT energy (no corrections)   -3.981 eV per atom
Space group   Pm-3m
Size of the total moment   2.7 μB/cell

a = 3.4149 Å, b = 3.4149 Å, c = 3.4149 Å
α = 90.00°, β = 90.00°, γ = 90.00°
Element x y z (fractional)
H1 0.5000 0.0000 0.0000
H2 0.0000 0.0000 0.5000
H3 0.0000 0.5000 0.0000
Si1 0.0000 0.0000 0.0000
Fe1 0.5000 0.5000 0.5000